# 1
A plane-wave DFT calculation with GGA-PBE was carried out for TlNiB2Rh after structural relaxation.

abc: 3.975 3.975 5.128
angles: 90.00 90.00 90.00
Space group P4/mmm (No. 123)
Inequivalent atoms, fractional coordinates:
Tl  0.000  0.000  0.000 (multiplicity 1)
Ni  0.500  0.500  0.000 (multiplicity 1)
B  0.000  0.500  0.500 (multiplicity 2)
Rh  0.500  0.500  0.500 (multiplicity 1)

Properties
DFT formation energy = 0.78 eV per atom
calculated total energy = -4.99 eV/atom
M_tot = 0.0 μB/f.u.
mass density = 7.94 g/cm3
DOS(E_F) = 2.4 states/eV/f.u.
calculated volume = 81 Å³/f.u.



# 2
A plane-wave DFT calculation with GGA-PBE was carried out for CaMgBe after structural relaxation.

abc: 3.366 3.366 11.669
angles: 90.00 90.00 90.00
Space group I4mm (No. 107)
Inequivalent atoms, fractional coordinates:
Ca  0.000  0.000  0.000 (multiplicity 2)
Mg  0.000  0.000  0.721 (multiplicity 2)
Be  0.000  0.000  0.336 (multiplicity 2)

Properties
DFT formation energy = 0.25 eV per atom
calculated total energy = -2.19 eV/atom
M_tot = 0.0 μB/f.u.
mass density = 1.84 g/cm3
DOS(E_F) = 2.0 states/eV/f.u.
calculated volume = 66 Å³/f.u.



Please write out number 2 again, unchanged.
A plane-wave DFT calculation with GGA-PBE was carried out for CaMgBe after structural relaxation.

abc: 3.366 3.366 11.669
angles: 90.00 90.00 90.00
Space group I4mm (No. 107)
Inequivalent atoms, fractional coordinates:
Ca  0.000  0.000  0.000 (multiplicity 2)
Mg  0.000  0.000  0.721 (multiplicity 2)
Be  0.000  0.000  0.336 (multiplicity 2)

Properties
DFT formation energy = 0.25 eV per atom
calculated total energy = -2.19 eV/atom
M_tot = 0.0 μB/f.u.
mass density = 1.84 g/cm3
DOS(E_F) = 2.0 states/eV/f.u.
calculated volume = 66 Å³/f.u.



> Look up the DFT formation energy of the first one.

0.78 eV per atom